# 1
## Tb2Dy8Pu (GGA-PBE)

Data for crystalline Tb2Dy8Pu at its relaxed geometry.

Cell and atoms, written as POSCAR:
```
Tb2Dy8Pu
1.0
-3.479 0.020 3.573
4.193 -5.280 4.112
4.664 8.039 1.017
Dy Tb Pu
8 2 1
Direct
0.865 0.821 0.729 Dy
0.410 0.550 0.820 Dy
0.956 0.270 0.911 Dy
0.590 0.450 0.180 Dy
0.044 0.730 0.089 Dy
0.320 0.092 0.641 Dy
0.680 0.908 0.359 Dy
0.135 0.179 0.271 Dy
0.773 0.364 0.546 Tb
0.227 0.636 0.454 Tb
0.500 0.000 0.000 Pu
```

Summary:
Formation enthalpy at 0 K (eV per atom): 0.044
Crystal system: monoclinic



# 2
## NdYAgIr (GGA-PBE)

Data for crystalline NdYAgIr at its relaxed geometry.

Cell and atoms, written as POSCAR:
```
NdYAgIr
1.0
5.065 0.000 0.000
2.532 4.386 0.000
2.532 1.462 4.135
Y Ir Ag Nd
1 1 1 1
Direct
0.750 0.750 0.750 Y
0.500 0.500 0.500 Ir
0.000 0.000 0.000 Ag
0.250 0.250 0.250 Nd
```

Summary:
Formation enthalpy at 0 K (eV per atom): -0.502
Crystal system: cubic



# 3
## MnPb2Br (GGA-PBE)

Data for crystalline MnPb2Br at its relaxed geometry.

Cell and atoms, written as POSCAR:
```
MnPb2Br
1.0
6.685 0.951 0.000
3.146 5.974 0.000
-4.916 -3.463 3.072
Pb Br Mn
2 1 1
Direct
0.000 0.000 0.000 Pb
0.250 0.750 0.500 Pb
0.500 0.500 0.000 Br
0.750 0.250 0.500 Mn
```

Summary:
Offset from the most stable computed form (meV/atom): 261
E_form (uncorrected) (eV/atom): 0.289
Crystal system: tetragonal



# 4
## CuGeTe2 (GGA-PBE)

Data for crystalline CuGeTe2 at its relaxed geometry.

Cell and atoms, written as POSCAR:
```
CuGeTe2
1.0
-1.613 -0.338 3.914
-2.261 -3.431 1.076
5.382 -4.890 4.099
Cu Te Ge
1 2 1
Direct
0.000 0.000 0.000 Cu
0.898 0.898 0.305 Te
0.102 0.102 0.695 Te
0.500 0.500 0.500 Ge
```

Summary:
E_form (uncorrected) (eV/atom): 0.166
Crystal system: trigonal



# 5
## Tb2MnBe3Ni12 (GGA-PBE)

Data for crystalline Tb2MnBe3Ni12 at its relaxed geometry.

Cell and atoms, written as POSCAR:
```
Tb2MnBe3Ni12
1.0
-1.786 -3.344 4.869
-4.607 -2.817 -2.987
3.348 -4.952 -1.535
Ni Be Mn Tb
12 3 1 2
Direct
0.122 0.602 0.602 Ni
0.703 0.186 0.186 Ni
0.398 0.398 0.878 Ni
0.814 0.814 0.297 Ni
0.602 0.602 0.122 Ni
0.186 0.703 0.186 Ni
0.186 0.186 0.703 Ni
0.297 0.814 0.814 Ni
0.602 0.122 0.602 Ni
0.814 0.297 0.814 Ni
0.878 0.398 0.398 Ni
0.398 0.878 0.398 Ni
0.500 0.000 0.000 Be
0.000 0.500 0.000 Be
0.000 0.000 0.500 Be
0.000 0.000 0.000 Mn
0.689 0.689 0.689 Tb
0.311 0.311 0.311 Tb
```

Summary:
Formation enthalpy at 0 K (eV per atom): 0.021
Crystal system: trigonal



# 6
## Pr6Nd3Tm2 (GGA-PBE)

Data for crystalline Pr6Nd3Tm2 at its relaxed geometry.

Cell and atoms, written as POSCAR:
```
Pr6Nd3Tm2
1.0
-2.514 1.255 -2.354
-2.553 -2.266 -1.335
-21.498 7.151 23.923
Pr Tm Nd
6 2 3
Direct
0.092 0.092 0.723 Pr
0.818 0.818 0.547 Pr
0.636 0.636 0.092 Pr
0.908 0.908 0.277 Pr
0.364 0.364 0.908 Pr
0.182 0.182 0.453 Pr
0.455 0.455 0.635 Tm
0.545 0.545 0.365 Tm
0.272 0.272 0.184 Nd
0.728 0.728 0.816 Nd
0.000 0.000 0.000 Nd
```

Summary:
Offset from the most stable computed form (meV/atom): 0
Formation enthalpy at 0 K (eV per atom): 0.017
Crystal system: trigonal



# 7
## La2Mg3Pb3 (GGA-PBE)

Data for crystalline La2Mg3Pb3 at its relaxed geometry.

Cell and atoms, written as POSCAR:
```
La2Mg3Pb3
1.0
4.991 0.000 0.000
0.000 4.858 0.000
0.000 0.000 9.361
Pb La Mg
3 2 3
Direct
0.500 0.000 0.500 Pb
0.000 0.500 0.500 Pb
0.000 0.500 0.000 Pb
0.000 0.000 0.253 La
0.000 0.000 0.747 La
0.500 0.500 0.758 Mg
0.500 0.000 0.000 Mg
0.500 0.500 0.242 Mg
```

Summary:
Formation enthalpy at 0 K (eV per atom): -0.380
Crystal system: orthorhombic



# 8
## Sr2LiTlRh (GGA-PBE)

Data for crystalline Sr2LiTlRh at its relaxed geometry.

Cell and atoms, written as POSCAR:
```
Sr2LiTlRh
1.0
5.763 0.000 0.000
0.000 5.763 0.000
0.000 0.000 4.838
Li Sr Rh Tl
1 2 1 1
Direct
0.000 0.000 0.500 Li
0.500 0.000 0.000 Sr
0.000 0.500 0.000 Sr
0.000 0.000 0.000 Rh
0.500 0.500 0.500 Tl
```

Summary:
Offset from the most stable computed form (meV/atom): 61
Formation enthalpy at 0 K (eV per atom): -0.092
Crystal system: tetragonal



# 9
## Be2TlAg (GGA-PBE)

Data for crystalline Be2TlAg at its relaxed geometry.

Cell and atoms, written as POSCAR:
```
Be2TlAg
1.0
2.915 0.000 0.000
0.000 2.915 0.000
0.000 0.000 7.774
Be Ag Tl
2 1 1
Direct
0.000 0.000 0.035 Be
0.500 0.500 0.161 Be
0.500 0.500 0.836 Ag
0.000 0.000 0.469 Tl
```

Summary:
Offset from the most stable computed form (meV/atom): 21
Formation enthalpy at 0 K (eV per atom): 0.413
Crystal system: tetragonal



# 10
## LaCe2In (GGA-PBE)

Data for crystalline LaCe2In at its relaxed geometry.

Cell and atoms, written as POSCAR:
```
LaCe2In
1.0
5.009 0.000 0.000
0.000 4.852 0.000
0.000 0.000 4.852
Ce In La
2 1 1
Direct
0.000 0.500 0.000 Ce
0.000 0.000 0.500 Ce
0.500 0.500 0.500 In
0.500 0.000 0.000 La
```

Summary:
Offset from the most stable computed form (meV/atom): 0
Formation enthalpy at 0 K (eV per atom): -0.193
Crystal system: tetragonal



# 11
## NaBeCoGe (GGA-PBE)

Data for crystalline NaBeCoGe at its relaxed geometry.

Cell and atoms, written as POSCAR:
```
NaBeCoGe
1.0
3.176 0.000 0.000
0.000 2.896 0.000
0.000 0.000 6.855
Ge Be Na Co
1 1 1 1
Direct
0.000 0.000 0.108 Ge
0.500 0.000 0.392 Be
0.500 0.500 0.768 Na
0.000 0.500 0.387 Co
```

Summary:
Offset from the most stable computed form (meV/atom): 118
Formation enthalpy at 0 K (eV per atom): 0.119
Crystal system: orthorhombic



# 12
## Hf2AlCr3 (GGA-PBE)

Data for crystalline Hf2AlCr3 at its relaxed geometry.

Cell and atoms, written as POSCAR:
```
Hf2AlCr3
1.0
4.385 -0.138 -2.310
-2.789 4.094 -0.202
-0.065 0.224 5.189
Cr Al Hf
3 1 2
Direct
0.500 0.000 0.500 Cr
0.500 0.500 0.500 Cr
0.000 0.000 0.500 Cr
0.000 0.000 0.000 Al
0.761 0.380 0.141 Hf
0.239 0.620 0.859 Hf
```

Summary:
Formation enthalpy at 0 K (eV per atom): -0.147
Crystal system: monoclinic



# 13
## SbPPt4 (GGA-PBE)

Data for crystalline SbPPt4 at its relaxed geometry.

Cell and atoms, written as POSCAR:
```
SbPPt4
1.0
7.286 0.189 -1.540
-0.614 5.140 -2.277
-0.224 -0.504 5.946
Pt Sb P
8 2 2
Direct
0.581 0.649 0.782 Pt
0.000 0.242 0.000 Pt
0.763 0.127 0.254 Pt
0.581 0.133 0.782 Pt
0.237 0.873 0.746 Pt
0.000 0.758 0.000 Pt
0.419 0.867 0.218 Pt
0.419 0.351 0.218 Pt
0.252 0.301 0.603 Sb
0.748 0.699 0.397 Sb
0.802 0.350 0.700 P
0.198 0.650 0.300 P
```

Summary:
Offset from the most stable computed form (meV/atom): 0
E_form (uncorrected) (eV/atom): -0.293
Crystal system: monoclinic



# 14
## CaMn3Ge (GGA-PBE)

Data for crystalline CaMn3Ge at its relaxed geometry.

Cell and atoms, written as POSCAR:
```
CaMn3Ge
1.0
4.996 0.000 0.000
0.000 4.996 0.000
0.000 0.000 4.996
Ge Mn Ca
1 3 1
Direct
0.500 0.500 0.500 Ge
0.000 0.000 0.500 Mn
0.000 0.500 0.000 Mn
0.500 0.000 0.000 Mn
0.000 0.000 0.000 Ca
```

Summary:
Formation enthalpy at 0 K (eV per atom): 1.802
Crystal system: cubic



# 15
## YPuPSe (GGA-PBE)

Data for crystalline YPuPSe at its relaxed geometry.

Cell and atoms, written as POSCAR:
```
YPuPSe
1.0
4.063 0.000 0.000
2.032 3.519 0.000
2.032 1.173 6.664
Y P Se Pu
1 1 1 1
Direct
0.745 0.745 0.766 Y
0.000 0.000 0.000 P
0.500 0.500 0.501 Se
0.255 0.255 0.234 Pu
```

Summary:
E_form (uncorrected) (eV/atom): -1.596
Crystal system: trigonal



# 16
## Al2CoTc (GGA-PBE)

Data for crystalline Al2CoTc at its relaxed geometry.

Cell and atoms, written as POSCAR:
```
Al2CoTc
1.0
-0.949 -1.659 1.919
-1.262 -1.468 -1.893
6.148 -4.354 -0.722
Tc Al Co
1 2 1
Direct
0.500 0.500 0.725 Tc
0.000 0.000 0.982 Al
0.500 0.500 0.288 Al
0.000 0.000 0.506 Co
```

Summary:
Offset from the most stable computed form (meV/atom): 248
Formation enthalpy at 0 K (eV per atom): -0.173
Crystal system: tetragonal



# 17
## Rb3TiBr8 (GGA-PBE)

Data for crystalline Rb3TiBr8 at its relaxed geometry.

Cell and atoms, written as POSCAR:
```
Rb3TiBr8
1.0
-5.625 -4.008 3.466
0.123 -5.152 -5.759
7.962 0.511 4.898
Ti Rb Br
1 3 8
Direct
0.000 0.000 0.000 Ti
0.500 0.500 0.000 Rb
0.250 0.750 0.500 Rb
0.750 0.250 0.500 Rb
0.316 0.897 0.213 Br
0.684 0.103 0.787 Br
0.316 0.316 0.213 Br
0.103 0.684 0.787 Br
0.897 0.316 0.213 Br
0.103 0.103 0.787 Br
0.897 0.897 0.213 Br
0.684 0.684 0.787 Br
```

Summary:
E_form (uncorrected) (eV/atom): -1.081
Crystal system: tetragonal



# 18
## ErHfBeRh (GGA-PBE)

Data for crystalline ErHfBeRh at its relaxed geometry.

Cell and atoms, written as POSCAR:
```
ErHfBeRh
1.0
-4.652 0.510 -0.170
-2.551 -2.713 -2.840
-2.786 -3.307 1.799
Hf Rh Er Be
1 1 1 1
Direct
0.750 0.750 0.750 Hf
0.500 0.500 0.500 Rh
0.250 0.250 0.250 Er
0.000 0.000 0.000 Be
```

Summary:
Formation enthalpy at 0 K (eV per atom): -0.330
Crystal system: cubic



# 19
## MnBeTl2 (GGA-PBE)

Data for crystalline MnBeTl2 at its relaxed geometry.

Cell and atoms, written as POSCAR:
```
MnBeTl2
1.0
3.280 -0.030 0.000
-1.438 2.947 0.000
0.000 0.000 8.563
Tl Be Mn
2 1 1
Direct
0.000 0.000 0.017 Tl
0.000 0.000 0.483 Tl
0.500 0.500 0.250 Be
0.500 0.500 0.750 Mn
```

Summary:
Offset from the most stable computed form (meV/atom): 283
Formation enthalpy at 0 K (eV per atom): 0.711
Crystal system: orthorhombic



# 20
## CrReTeN2 (GGA-PBE)

Data for crystalline CrReTeN2 at its relaxed geometry.

Cell and atoms, written as POSCAR:
```
CrReTeN2
1.0
-0.062 -1.680 -3.483
3.863 -0.189 0.023
-0.274 -5.278 2.551
Te N Cr Re
1 2 1 1
Direct
0.000 0.000 0.500 Te
0.500 0.000 0.000 N
0.000 0.500 0.000 N
0.500 0.500 0.500 Cr
0.000 0.000 0.000 Re
```

Summary:
Offset from the most stable computed form (meV/atom): 0
E_form (uncorrected) (eV/atom): 0.564
Crystal system: tetragonal



# 21
## TmPu2CuTe5 (GGA-PBE)

Data for crystalline TmPu2CuTe5 at its relaxed geometry.

Cell and atoms, written as POSCAR:
```
TmPu2CuTe5
1.0
-3.945 -1.296 -0.940
5.515 -6.421 -4.649
-0.002 -7.559 10.437
Te Cu Pu Tm
10 2 4 2
Direct
0.040 0.081 0.063 Te
0.500 0.000 0.782 Te
0.500 0.000 0.282 Te
0.690 0.379 0.843 Te
0.355 0.710 0.001 Te
0.310 0.621 0.343 Te
0.289 0.579 0.674 Te
0.645 0.290 0.501 Te
0.711 0.421 0.174 Te
0.960 0.919 0.563 Te
0.572 0.143 0.956 Cu
0.428 0.857 0.456 Cu
0.111 0.222 0.684 Pu
0.877 0.754 0.809 Pu
0.889 0.778 0.184 Pu
0.123 0.246 0.309 Pu
0.193 0.385 0.011 Tm
0.807 0.615 0.511 Tm
```

Summary:
E_form (uncorrected) (eV/atom): -0.920
Crystal system: orthorhombic



# 22
## KCa2Au (GGA-PBE)

Data for crystalline KCa2Au at its relaxed geometry.

Cell and atoms, written as POSCAR:
```
KCa2Au
1.0
-0.337 3.277 3.981
0.504 -3.965 3.307
4.875 0.572 -0.058
Au Ca K
1 2 1
Direct
0.000 0.500 0.500 Au
0.000 0.000 0.000 Ca
0.500 0.500 0.000 Ca
0.500 0.000 0.500 K
```

Summary:
Offset from the most stable computed form (meV/atom): 304
Formation enthalpy at 0 K (eV per atom): -0.055
Crystal system: orthorhombic



# 23
## PSe2 (GGA-PBE)

Data for crystalline PSe2 at its relaxed geometry.

Cell and atoms, written as POSCAR:
```
PSe2
1.0
2.578 2.636 -2.444
-4.091 -0.979 -1.368
-2.462 5.551 3.389
Se P
4 2
Direct
0.667 0.333 0.750 Se
0.333 0.667 0.250 Se
0.000 0.000 0.000 Se
0.000 0.000 0.500 Se
0.667 0.333 0.250 P
0.333 0.667 0.750 P
```

Summary:
Offset from the most stable computed form (meV/atom): 642
E_form (uncorrected) (eV/atom): 0.672
Crystal system: hexagonal



# 24
## Ac3LaY4 (GGA-PBE)

Data for crystalline Ac3LaY4 at its relaxed geometry.

Cell and atoms, written as POSCAR:
```
Ac3LaY4
1.0
-4.325 6.080 -0.212
-5.880 -4.245 -1.775
-2.244 -1.234 10.384
Ac Y La
6 8 2
Direct
0.001 0.311 0.000 Ac
0.256 0.061 0.750 Ac
0.256 0.061 0.250 Ac
0.744 0.561 0.750 Ac
0.744 0.561 0.250 Ac
0.999 0.811 0.500 Ac
0.000 0.811 0.000 Y
0.000 0.311 0.500 Y
0.751 0.061 0.250 Y
0.249 0.561 0.250 Y
0.751 0.061 0.750 Y
0.500 0.810 0.500 Y
0.500 0.310 0.000 Y
0.249 0.561 0.750 Y
0.499 0.810 0.000 La
0.501 0.310 0.500 La
```

Summary:
Formation enthalpy at 0 K (eV per atom): 0.050
Crystal system: orthorhombic



# 25
## Ba2BePb (GGA-PBE)

Data for crystalline Ba2BePb at its relaxed geometry.

Cell and atoms, written as POSCAR:
```
Ba2BePb
1.0
0.000 4.188 4.188
4.188 0.000 4.188
4.188 4.188 0.000
Be Ba Pb
1 2 1
Direct
0.000 0.000 0.000 Be
0.750 0.750 0.750 Ba
0.250 0.250 0.250 Ba
0.500 0.500 0.500 Pb
```

Summary:
Offset from the most stable computed form (meV/atom): 133
Formation enthalpy at 0 K (eV per atom): 0.045
Crystal system: cubic



# 26
## TbTmAg4 (GGA-PBE)

Data for crystalline TbTmAg4 at its relaxed geometry.

Cell and atoms, written as POSCAR:
```
TbTmAg4
1.0
-4.105 2.584 -2.972
0.239 0.105 -5.683
-3.670 -3.088 -3.059
Ag Tb Tm
4 1 1
Direct
0.125 0.625 0.625 Ag
0.625 0.125 0.625 Ag
0.625 0.625 0.125 Ag
0.625 0.625 0.625 Ag
0.000 0.000 0.000 Tb
0.250 0.250 0.250 Tm
```

Summary:
Offset from the most stable computed form (meV/atom): 146
Formation enthalpy at 0 K (eV per atom): -0.172
Crystal system: cubic